## PmPaTc2N6 (GGA-PBE)

Data for a relaxed PmPaTc2N6 crystal.

- total magnetization (μB/cell) = 0.0
- energy (eV per atom) = -9.12

Cell lengths 6.0115, 7.1115, 7.1115 Å; angles 83.63, 78.05, 78.05 degrees
Closest atoms and distances in Å follow each position.
Atoms (fractional coordinates):
N  0.1551  0.0104  0.7594  1 Tc 1.86
N  0.0974  0.6267  0.1306  1 Tc 1.83
N  0.5974  0.1306  0.6267  1 Tc 1.83
N  0.0136  0.3226  0.4033  2 Tc 1.93
N  0.3449  0.2406  0.9896  1 Tc 1.86
N  0.8449  0.9896  0.2406  1 Tc 1.86
N  0.9864  0.6774  0.5967  2 Tc 1.93
N  0.9026  0.3733  0.8694  1 Tc 1.83
N  0.4864  0.5967  0.6774  2 Tc 1.93
N  0.5136  0.4033  0.3226  2 Tc 1.93
N  0.6551  0.7594  0.0104  1 Tc 1.86
N  0.4026  0.8694  0.3733  1 Tc 1.83
Pa  0.7500  0.6764  0.3236  4 N 2.23-2.39
Pa  0.2500  0.3236  0.6764  4 N 2.23-2.39
Tc  0.7590  0.2008  0.3901  4 N 1.83-1.93
Tc  0.7410  0.6099  0.7992  4 N 1.83-1.93
Tc  0.2410  0.7992  0.6099  4 N 1.83-1.93
Tc  0.2590  0.3901  0.2008  4 N 1.83-1.93
Pm  0.7500  0.0903  0.9097  6 N 2.35-2.53
Pm  0.2500  0.9097  0.0903  6 N 2.35-2.53

=====

## PmPaTeN2 (GGA-PBE)

Data for a relaxed PmPaTeN2 crystal.

- total magnetization (μB/cell) = 0.0
- energy (eV per atom) = -8.49

Cell lengths 4.0152, 4.0152, 6.9910 Å; angles 106.69, 106.69, 90.00 degrees
Closest atoms and distances in Å follow each position.
Atoms (fractional coordinates):
N  0.7416  0.2416  0.4832  2 Pa 2.21, 2 Pm 2.39
N  0.2416  0.7416  0.4832  2 Pa 2.21, 2 Pm 2.39
Te  0.5047  0.5047  0.0094  4 Pm 3.51, 4 Pa 3.54, 8 N 3.63-3.92
Pa  0.1696  0.1696  0.3391  4 N 2.21
Pm  0.8426  0.8426  0.6851  4 N 2.39

=====

## Pm4Th3PaN8 (GGA-PBE)

Data for a relaxed Pm4Th3PaN8 crystal.

- total magnetization (μB/cell) = 0.0
- energy (eV per atom) = -8.89

Cell lengths 7.2573, 7.2270, 7.2570 Å; angles 120.13, 120.00, 90.00 degrees
Closest atoms and distances in Å follow each position.
Atoms (fractional coordinates):
N  0.7649  0.2706  0.0057  1 Pa 2.41, 2 Th 2.54, 2 Pm 2.59
N  0.2540  0.2619  0.5079  3 Th 2.52, 3 Pm 2.60
N  0.2350  0.7294  0.4701  1 Pa 2.41, 2 Th 2.54, 2 Pm 2.59
N  0.7460  0.7381  0.4921  3 Th 2.52, 3 Pm 2.60
N  0.7593  0.7294  0.9943  1 Pa 2.41, 2 Th 2.54, 2 Pm 2.59
N  0.2351  0.7294  0.9943  1 Pa 2.41, 2 Th 2.54, 2 Pm 2.59
N  0.2407  0.2706  0.0057  1 Pa 2.41, 2 Th 2.54, 2 Pm 2.59
N  0.7650  0.2706  0.5299  1 Pa 2.41, 2 Th 2.54, 2 Pm 2.59
Th  0.0000  0.5000  0.5000  6 N 2.52-2.54
Th  0.5000  0.5000  0.5000  6 N 2.52-2.54
Th  0.5000  0.5000  0.0000  6 N 2.52-2.54
Pm  0.5000  0.0000  0.5000  6 N 2.59-2.60
Pm  0.5000  0.0000  0.0000  6 N 2.71
Pm  0.0000  0.0000  0.0000  6 N 2.59-2.60
Pm  0.0000  0.0000  0.5000  6 N 2.59-2.60
Pa  0.0000  0.5000  0.0000  6 N 2.41

=====

## PmTh2PaN4 (GGA-PBE)

Data for a relaxed PmTh2PaN4 crystal.

- total magnetization (μB/cell) = 0.0
- energy (eV per atom) = -9.37

Cell lengths 3.6037, 6.2207, 6.2662 Å; angles 109.33, 90.00, 90.00 degrees
Closest atoms and distances in Å follow each position.
Atoms (fractional coordinates):
N  0.5000  0.2270  0.2282  2 Pa 2.44, 3 Th 2.55-2.67, 1 Pm 2.56
N  0.0000  0.7689  0.2402  1 Pa 2.40, 2 Th 2.53, 2 Pm 2.58
N  0.5000  0.7730  0.7718  2 Pa 2.44, 3 Th 2.55-2.67, 1 Pm 2.56
N  0.0000  0.2311  0.7598  1 Pa 2.40, 2 Th 2.53, 2 Pm 2.58
Th  0.5000  0.0000  0.5000  6 N 2.53-2.55
Th  0.0000  0.5000  0.5000  6 N 2.67-2.69
Pm  0.5000  0.5000  0.0000  6 N 2.56-2.58
Pa  0.0000  0.0000  0.0000  6 N 2.40-2.44

=====

## Pm3ThPa2N6 (GGA-PBE)

Data for a relaxed Pm3ThPa2N6 crystal.

- total magnetization (μB/cell) = 0.0
- energy (eV per atom) = -9.13

Cell lengths 6.2162, 6.2162, 6.1976 Å; angles 99.61, 99.61, 120.00 degrees
Closest atoms and distances in Å follow each position.
Atoms (fractional coordinates):
Pa  0.3332  0.6668  0.0000  6 N 2.40
Pa  0.6668  0.3332  0.0000  6 N 2.40
Pm  0.1663  0.8337  0.5000  6 N 2.56-2.68
Pm  0.8337  0.1663  0.5000  6 N 2.56-2.68
Pm  0.5000  0.5000  0.5000  6 N 2.56-2.67
N  0.9257  0.5764  0.7778  2 Pa 2.40, 1 Th 2.53, 3 Pm 2.56-2.67
N  0.2758  0.2758  0.7797  2 Pa 2.40, 1 Th 2.52, 3 Pm 2.56-2.68
N  0.0743  0.4236  0.2222  2 Pa 2.40, 1 Th 2.53, 3 Pm 2.56-2.67
N  0.5764  0.9257  0.7778  2 Pa 2.40, 1 Th 2.53, 3 Pm 2.56-2.67
N  0.4236  0.0743  0.2222  2 Pa 2.40, 1 Th 2.53, 3 Pm 2.56-2.67
N  0.7242  0.7242  0.2203  2 Pa 2.40, 1 Th 2.52, 3 Pm 2.56-2.68
Th  0.0000  0.0000  0.0000  6 N 2.52-2.53

=====

## PmPaTiN4 (GGA-PBE)

Data for a relaxed PmPaTiN4 crystal.

- total magnetization (μB/cell) = 0.0
- energy (eV per atom) = -9.35

Cell lengths 5.5195, 5.5148, 6.7339 Å; angles 90.00, 114.19, 90.00 degrees
Closest atoms and distances in Å follow each position.
Atoms (fractional coordinates):
Pm  0.6072  0.7500  0.2143  1 N 2.30
Pm  0.3928  0.2500  0.7857  1 N 2.30
N  0.5000  0.0000  0.5000  2 Ti 1.96
N  0.4201  0.7500  0.8401  1 Ti 1.92
N  0.0000  0.5000  0.5000  2 Ti 1.96
N  0.0578  0.7500  0.1156  1 Pa 2.10
N  0.0000  0.0000  0.5000  2 Ti 1.96
N  0.5799  0.2500  0.1599  1 Ti 1.92
N  0.9422  0.2500  0.8844  1 Pa 2.10
N  0.5000  0.5000  0.5000  2 Ti 1.96
Ti  0.7366  0.2500  0.4732  5 N 1.92-1.96
Ti  0.2634  0.7500  0.5268  5 N 1.92-1.96
Pa  0.1135  0.2500  0.2270  1 N 2.10
Pa  0.8865  0.7500  0.7730  1 N 2.10

=====

## Pm3Pa3TiN8 (GGA-PBE)

Data for a relaxed Pm3Pa3TiN8 crystal.

- total magnetization (μB/cell) = 0.0
- energy (eV per atom) = -9.30

Cell lengths 6.8946, 6.8946, 6.9858 Å; angles 119.57, 90.00, 120.00 degrees
Closest atoms and distances in Å follow each position.
Atoms (fractional coordinates):
Pm  0.0000  0.5000  0.0000  6 N 2.54-2.59
Pm  0.0000  0.0000  0.0000  6 N 2.54-2.59
Pm  0.5000  0.5000  0.0000  6 N 2.54-2.59
N  0.7416  0.4831  0.7246  3 Pa 2.37, 3 Pm 2.54
N  0.7781  0.0234  0.3015  1 Ti 2.18, 2 Pa 2.35
N  0.7782  0.5564  0.3016  1 Ti 2.18, 2 Pa 2.35
N  0.2452  0.0234  0.3015  1 Ti 2.18, 2 Pa 2.35
N  0.2219  0.9766  0.6985  1 Ti 2.18, 2 Pa 2.35
N  0.2218  0.4436  0.6984  1 Ti 2.18, 2 Pa 2.35
N  0.7548  0.9766  0.6985  1 Ti 2.18, 2 Pa 2.35
N  0.2584  0.5169  0.2754  3 Pa 2.37, 3 Pm 2.54
Pa  0.5000  0.5000  0.5000  6 N 2.35-2.37
Pa  0.0000  0.5000  0.5000  6 N 2.35-2.37
Pa  0.5000  0.0000  0.5000  6 N 2.35-2.37
Ti  0.0000  0.0000  0.5000  6 N 2.18

=====

## Pm2TmPaN4 (GGA-PBE)

Data for a relaxed Pm2TmPaN4 crystal.

- total magnetization (μB/cell) = 0.0
- energy (eV per atom) = -8.73

Cell lengths 3.5382, 6.0488, 6.1441 Å; angles 109.05, 90.00, 90.00 degrees
Closest atoms and distances in Å follow each position.
Atoms (fractional coordinates):
N  0.5000  0.7637  0.7777  2 Pa 2.40, 1 Tm 2.41, 3 Pm 2.56-2.61
N  0.5000  0.2363  0.2223  2 Pa 2.40, 1 Tm 2.41, 3 Pm 2.56-2.61
N  0.0000  0.2481  0.7761  1 Pa 2.34, 2 Tm 2.44, 3 Pm 2.57-2.62
N  0.0000  0.7519  0.2239  1 Pa 2.34, 2 Tm 2.44, 3 Pm 2.57-2.62
Tm  0.5000  0.5000  0.0000  6 N 2.41-2.44
Pm  0.5000  0.0000  0.5000  6 N 2.56-2.57
Pm  0.0000  0.5000  0.5000  6 N 2.61-2.62
Pa  0.0000  0.0000  0.0000  6 N 2.34-2.40

=====

## Pm4TmPa3N8 (GGA-PBE)

Data for a relaxed Pm4TmPa3N8 crystal.

- total magnetization (μB/cell) = 0.0
- energy (eV per atom) = -9.03

Cell lengths 7.0673, 7.1042, 7.0672 Å; angles 119.83, 120.00, 90.00 degrees
Closest atoms and distances in Å follow each position.
Atoms (fractional coordinates):
Tm  0.0000  0.5000  0.0000  6 N 2.44
N  0.2605  0.2814  0.5209  3 Pa 2.40, 3 Pm 2.62
N  0.7572  0.2817  0.0245  2 Pa 2.39, 1 Tm 2.44, 3 Pm 2.58-2.63
N  0.2428  0.7183  0.4856  2 Pa 2.39, 1 Tm 2.44, 3 Pm 2.58-2.63
N  0.7572  0.2817  0.5144  2 Pa 2.39, 1 Tm 2.44, 3 Pm 2.58-2.63
N  0.2673  0.2817  0.0245  2 Pa 2.39, 1 Tm 2.44, 3 Pm 2.58-2.63
N  0.7395  0.7186  0.4791  3 Pa 2.40, 3 Pm 2.62
N  0.7327  0.7183  0.9755  2 Pa 2.39, 1 Tm 2.44, 3 Pm 2.58-2.63
N  0.2428  0.7183  0.9755  2 Pa 2.39, 1 Tm 2.44, 3 Pm 2.58-2.63
Pa  0.0000  0.5000  0.5000  6 N 2.39-2.40
Pa  0.5000  0.5000  0.5000  6 N 2.39-2.40
Pa  0.5000  0.5000  0.0000  6 N 2.39-2.40
Pm  0.5000  0.0000  0.0000  6 N 2.58
Pm  0.5000  0.0000  0.5000  6 N 2.62-2.63
Pm  0.0000  0.0000  0.0000  6 N 2.62-2.63
Pm  0.0000  0.0000  0.5000  6 N 2.62-2.63

=====

## PmTm2PaN4 (GGA-PBE)

Data for a relaxed PmTm2PaN4 crystal.

- total magnetization (μB/cell) = 0.0
- energy (eV per atom) = -8.73

Cell lengths 3.4865, 5.9946, 6.0282 Å; angles 70.83, 90.00, 90.00 degrees
Closest atoms and distances in Å follow each position.
Atoms (fractional coordinates):
Tm  0.0000  0.0000  0.0000  6 N 2.48-2.54
Tm  0.5000  0.0000  0.5000  6 N 2.39-2.41
N  0.5000  0.2469  0.7400  3 Tm 2.39-2.48, 2 Pa 2.45, 1 Pm 2.51
N  0.0000  0.7528  0.7288  1 Pa 2.36, 3 Tm 2.41-2.54, 2 Pm 2.53
N  0.5000  0.7531  0.2600  3 Tm 2.39-2.48, 2 Pa 2.45, 1 Pm 2.51
N  0.0000  0.2472  0.2712  1 Pa 2.36, 3 Tm 2.41-2.54, 2 Pm 2.53
Pa  0.0000  0.5000  0.5000  6 N 2.36-2.45
Pm  0.5000  0.5000  0.0000  6 N 2.51-2.53

=====

## Pm3TmPa3N8 (GGA-PBE)

Data for a relaxed Pm3TmPa3N8 crystal.

- total magnetization (μB/cell) = 0.0
- energy (eV per atom) = -9.08

Cell lengths 7.0206, 7.0207, 7.0543 Å; angles 119.84, 90.00, 120.00 degrees
Closest atoms and distances in Å follow each position.
Atoms (fractional coordinates):
Pa  0.5000  0.0000  0.5000  6 N 2.35-2.41
Pa  0.0000  0.5000  0.5000  6 N 2.35-2.41
Pa  0.5000  0.5000  0.5000  6 N 2.35-2.41
Pm  0.5000  0.5000  0.0000  6 N 2.57-2.65
Pm  0.0000  0.5000  0.0000  6 N 2.57-2.65
Pm  0.0000  0.0000  0.0000  6 N 2.57-2.65
N  0.7653  0.0299  0.2952  1 Tm 2.34, 2 Pa 2.35
N  0.2347  0.9701  0.7048  1 Tm 2.34, 2 Pa 2.35
N  0.2347  0.4693  0.7048  1 Tm 2.34, 2 Pa 2.35
N  0.2581  0.5162  0.2743  3 Pa 2.41, 3 Pm 2.57
N  0.7653  0.5307  0.2952  1 Tm 2.34, 2 Pa 2.35
N  0.2646  0.0299  0.2953  1 Tm 2.34, 2 Pa 2.35
N  0.7354  0.9701  0.7047  1 Tm 2.34, 2 Pa 2.35
N  0.7419  0.4838  0.7257  3 Pa 2.41, 3 Pm 2.57
Tm  0.0000  0.0000  0.5000  6 N 2.34

=====

## PmU2PaN4 (GGA-PBE)

Data for a relaxed PmU2PaN4 crystal.

- total magnetization (μB/cell) = 2.6
- energy (eV per atom) = -10.18

Cell lengths 3.4868, 6.0384, 6.0716 Å; angles 109.58, 90.00, 90.00 degrees
Closest atoms and distances in Å follow each position.
Atoms (fractional coordinates):
Pm  0.5000  0.5000  0.0000  6 N 2.55-2.57
U  0.5000  0.0000  0.5000  6 N 2.37-2.40
U  0.0000  0.5000  0.5000  6 N 2.46
N  0.5000  0.7549  0.7405  3 U 2.40-2.46, 2 Pa 2.48, 1 Pm 2.55
N  0.5000  0.2451  0.2595  3 U 2.40-2.46, 2 Pa 2.48, 1 Pm 2.55
N  0.0000  0.7683  0.2710  3 U 2.37-2.46, 1 Pa 2.49, 2 Pm 2.57
N  0.0000  0.2317  0.7290  3 U 2.37-2.46, 1 Pa 2.49, 2 Pm 2.57
Pa  0.0000  0.0000  0.0000  6 N 2.48-2.49

=====

Q: Which formula does entry 3 have?
A: Pm4Th3PaN8